1.
A relaxed Sc2AgTe crystal, computed with GGA-PBE.

Unit cell a=5.867 b=5.867 c=4.179 alpha=90.02 beta=90.02 gamma=39.08
Atoms (fractional coordinates):
Ag1 0.278 0.278 0.125
Sc1 0.733 0.733 0.625
Te1 0.464 0.464 0.625
Sc2 0.026 0.026 0.125

Results
E_form (uncorrected) ... -0.57 eV/atom
E ... -20.9 eV per cell

2.
A relaxed AcCdAu crystal, computed with GGA-PBE.

Unit cell a=5.104 b=5.104 c=5.104 alpha=60.00 beta=60.00 gamma=60.00
Atoms (fractional coordinates):
Au1 0.250 0.250 0.250
Cd1 0.000 0.000 0.000
Ac1 0.500 0.500 0.500

Results
E above lowest polymorph ... 116 meV per atom
Energy of formation ... -0.5379 eV/atom
E ... -9.9 eV per cell